[1]
Here is a geometry-optimized BaIr2Pb structure from the Alexandria database. Energies are from GGA-PBE.

Unit cell a=4.7406 b=4.7406 c=4.0091 alpha=90.00 beta=90.00 gamma=90.00
Element x y z (fractional)
Ba 0.0000 0.0000 0.0000
Ir 0.0000 0.5000 0.5000
Ir 0.5000 0.0000 0.5000
Pb 0.5000 0.5000 0.0000

Summary:
VASP energy ... -21.22 eV for the cell shown
Density ... 13435 kg/m3
Energy relative to the lowest polymorph listed for this composition ... 676 meV/atom



[2]
Here is a geometry-optimized UTl2Te2Cl2 structure from the Alexandria database. Energies are from GGA-PBE.

Unit cell a=8.9286 b=8.9286 c=8.9286 alpha=140.41 beta=140.41 gamma=57.24
Element x y z (fractional)
U 0.0000 0.0000 0.0000
Tl 0.3774 0.3774 0.0000
Tl 0.6226 0.6226 0.0000
Te 0.0000 0.5000 0.5000
Te 0.5000 0.0000 0.5000
Cl 0.1663 0.1663 0.0000
Cl 0.8337 0.8337 0.0000

Summary:
Energy relative to the elements, uncorrected ... -853.3 meV per atom
VASP energy ... -31.97 eV for the cell shown
Density ... 5635 kg/m3



[3]
Here is a geometry-optimized LaBeW2 structure from the Alexandria database. Energies are from GGA-PBE.

Unit cell a=9.9363 b=9.9363 c=9.9363 alpha=16.73 beta=16.73 gamma=16.73
Element x y z (fractional)
La 0.0000 0.0000 0.0000
Be 0.5000 0.5000 0.5000
W 0.2336 0.2336 0.2336
W 0.7664 0.7664 0.7664

Summary:
VASP energy ... -31.03 eV for the cell shown
Density ... 12069 kg/m3



[4]
Here is a geometry-optimized Na3TcAu structure from the Alexandria database. Energies are from GGA-PBE.

Unit cell a=5.4560 b=5.4560 c=5.4560 alpha=90.00 beta=90.00 gamma=90.00
Element x y z (fractional)
Na 0.0000 0.0000 0.5000
Na 0.0000 0.5000 0.0000
Na 0.5000 0.0000 0.0000
Tc 0.5000 0.5000 0.5000
Au 0.0000 0.0000 0.0000

Summary:
VASP energy ... -12.89 eV for the cell shown
Density ... 3721 kg/m3
Energy relative to the lowest polymorph listed for this composition ... 0 meV/atom